Entry 1:
Here is a geometry-optimized KScO2 structure from the Alexandria database. Energies are from PBE-GGA.

```
KScO2
1.0
3.2341 0.0000 0.0000
1.6170 2.8008 0.0000
1.6170 0.9336 6.2430
K O Sc
1 2 1
Direct
0.4976 0.4976 0.5073
0.2754 0.2754 0.1738
0.0599 0.0599 0.8202
0.6671 0.6671 0.9987
```

Size of the total moment (μB/f.u.): 0.0
Symmetry: No. 160
Energy (eV/atom): -7.059

Entry 2:
Here is a geometry-optimized K3ScO structure from the Alexandria database. Energies are from PBE-GGA.

```
K3ScO
1.0
-3.8495 -1.1280 -3.8811
-3.0821 -2.6478 3.8266
-2.6145 4.7823 1.2033
Sc K O
1 3 1
Direct
0.5000 0.5000 0.5000
0.0000 0.5000 0.0000
0.5000 0.0000 0.0000
0.0000 0.0000 0.5000
0.0000 0.0000 0.0000
```

Excess energy over the best structure of this formula in the dataset (meV/atom): 0
Size of the total moment (μB/f.u.): 1.9
Symmetry: No. 221
Energy (eV/atom): -2.924

Entry 3:
Here is a geometry-optimized K3ScO3 structure from the Alexandria database. Energies are from PBE-GGA.

```
K3ScO3
1.0
6.8748 0.0236 -0.0105
-3.0417 6.1654 -0.0105
-0.5819 -0.9396 6.7034
K O Sc
6 6 2
Direct
0.7986 0.2014 0.5000
0.7402 0.2598 0.0000
0.3665 0.3665 0.6411
0.6335 0.6335 0.3589
0.2014 0.7986 0.5000
0.2598 0.7402 0.0000
0.4410 0.1656 0.2669
0.8977 0.8977 0.1590
0.5590 0.8344 0.7331
0.1656 0.4410 0.2669
0.8344 0.5590 0.7331
0.1023 0.1023 0.8410
0.8248 0.8248 0.8530
0.1752 0.1752 0.1470
```

Excess energy over the best structure of this formula in the dataset (meV/atom): 7
Size of the total moment (μB/f.u.): 0.1
Symmetry: No. 12
Energy (eV/atom): -5.549

Entry 4:
Here is a geometry-optimized K2Sc3O6 structure from the Alexandria database. Energies are from PBE-GGA.

```
K2Sc3O6
1.0
-4.5595 2.6711 1.7747
-0.8899 0.6673 5.4640
1.6057 6.3286 0.4365
Sc O K
3 6 2
Direct
0.0000 0.0000 0.0000
0.6641 0.6717 0.0000
0.3359 0.3283 0.0000
0.9486 0.6618 0.1690
0.3896 0.6618 0.8310
0.6104 0.3382 0.1690
0.2724 0.0000 0.1692
0.0514 0.3382 0.8310
0.7276 0.0000 0.8309
0.8333 0.3335 0.5000
0.1667 0.6665 0.5000
```

Size of the total moment (μB/f.u.): 1.0
Symmetry: No. 12
Energy (eV/atom): -7.379

Entry 5:
Here is a geometry-optimized KScO2 structure from the Alexandria database. Energies are from PBE-GGA.

```
KScO2
1.0
5.8296 0.0000 0.0000
0.0000 5.8296 0.0000
2.9148 2.9148 4.3303
O K Sc
4 2 2
Direct
0.3750 0.2675 0.7500
0.7325 0.1250 0.2500
0.8750 0.9825 0.7500
0.0175 0.6250 0.2500
0.5000 0.5000 0.0000
0.2500 0.7500 0.5000
0.0000 0.0000 0.0000
0.7500 0.2500 0.5000
```

Size of the total moment (μB/f.u.): 0.0
Symmetry: No. 122
Energy (eV/atom): -7.056

Entry 6:
Here is a geometry-optimized KScO2 structure from the Alexandria database. Energies are from PBE-GGA.

```
KScO2
1.0
0.0000 2.9031 2.9031
2.9031 0.0000 2.9031
2.9031 2.9031 0.0000
O K Sc
2 1 1
Direct
0.2500 0.2500 0.2500
0.7500 0.7500 0.7500
0.0000 0.0000 0.0000
0.5000 0.5000 0.5000
```

Size of the total moment (μB/f.u.): 0.0
Symmetry: No. 225
Energy (eV/atom): -6.060